A plane-wave DFT calculation with GGA-PBEsol was carried out for crystalline LaCoRe2 at its relaxed geometry.

Cell lengths 9.5611, 9.5611, 9.5611 Å; angles 17.06, 17.06, 17.06 degrees
Element x y z (fractional)
La  0.0000  0.0000  0.0000
Co  0.7574  0.7574  0.7574
Re  0.2337  0.2337  0.2337
Re  0.4931  0.4931  0.4931

The density comes out at 14.4 g/cm³. The volume comes out at 65.6 Å³ per cell. For the formation energy, the calculation gives 0.567 eV per atom.